[1]
Material: BaY2Br
Method: DFT, GGA-PBE
State: optimized geometry

Unit cell a=5.1473 b=5.1473 c=10.7753 alpha=90.00 beta=90.00 gamma=90.00
Closest atoms and distances in Å follow each position.
Space group I-4m2 (No. 119)
Asymmetric unit:
Ba (0.0000, 0.0000, 0.0000)  8 Y 3.64-3.73, 4 Br 3.73
Y (0.0000, 0.0000, 0.5000)  4 Ba 3.64, 4 Br 3.73, 4 Y 3.73
Y (0.0000, 0.5000, 0.2500)  4 Br 3.64, 4 Ba 3.73, 4 Y 3.73
Br (0.0000, 0.5000, 0.7500)  8 Y 3.64-3.73, 4 Ba 3.73

DOS(E_F) = 5.78 states/eV/f.u.
E above lowest polymorph = 570.0 meV per atom
M_tot = 4.1 μB/cell
E_tot = -32.9 eV per cell

=====

[2]
Material: BaY2Br
Method: DFT, GGA-PBE
State: optimized geometry

Unit cell a=4.6227 b=4.6227 c=15.3410 alpha=90.00 beta=90.00 gamma=90.00
Closest atoms and distances in Å follow each position.
Space group I4/mmm (No. 139)
Asymmetric unit:
Ba (0.0000, 0.0000, 0.0000)  4 Br 3.27
Y (0.0000, 0.5000, 0.2500)  4 Y 3.27
Br (0.0000, 0.0000, 0.5000)  4 Ba 3.27

DOS(E_F) = 5.48 states/eV/f.u.
E above lowest polymorph = 372.5 meV per atom
M_tot = 0.0 μB/cell
E_tot = -34.4 eV per cell

=====

no.,formation energy (no corrections) (kJ/mol of atoms)
1,2
2,-17